A.
# Er2Tc

A relaxed structure of Er2Tc (PBE, OQMD via LeMat-Bulk).

## Properties
Size of the total moment in μB per atom: 0.00

a b c (Å): 5.800 5.800 5.800
angles (deg): 60.00 60.00 60.00
Positions (direct):
1 Er 0.000 0.000 0.000
2 Er 0.000 0.000 0.500
3 Er 0.000 0.500 0.000
4 Er 0.500 0.000 0.000
5 Tc 0.375 0.375 0.375
6 Tc 0.625 0.625 0.625



B.
# Er2Tc

A relaxed structure of Er2Tc (PBE, OQMD via LeMat-Bulk).

## Properties
Size of the total moment in μB per atom: 0.33

a b c (Å): 8.063 8.063 8.063
angles (deg): 60.00 60.00 60.00
Positions (direct):
1 Er 0.000 0.000 0.000
2 Er 0.000 0.000 0.500
3 Er 0.000 0.500 0.000
4 Er 0.500 0.000 0.000
5 Tc 0.125 0.125 0.125
6 Tc 0.875 0.875 0.875



A is preferred energetically. Next in line: 271 meV per atom higher.



A.
# ErTlZnTe3

A relaxed structure of ErTlZnTe3 (PBE, OQMD via LeMat-Bulk).

## Properties
Size of the total moment in μB per atom: 0.00

a b c (Å): 8.048 8.048 11.514
angles (deg): 90.00 90.00 148.77
Positions (direct):
1 Er 0.000 0.000 0.000
2 Er 0.000 0.000 0.500
3 Tl 0.245 0.755 0.750
4 Tl 0.755 0.245 0.250
5 Zn 0.462 0.538 0.250
6 Zn 0.538 0.462 0.750
7 Te 0.071 0.929 0.250
8 Te 0.366 0.634 0.058
9 Te 0.366 0.634 0.442
10 Te 0.634 0.366 0.558
11 Te 0.634 0.366 0.942
12 Te 0.929 0.071 0.750



B.
# ErTlZnTe3

A relaxed structure of ErTlZnTe3 (PBE, OQMD via LeMat-Bulk).

## Properties
Size of the total moment in μB per atom: 0.00

a b c (Å): 9.160 4.610 17.448
angles (deg): 90.00 90.00 90.00
Positions (direct):
1 Er 0.250 0.250 0.044
2 Er 0.250 0.750 0.544
3 Er 0.750 0.250 0.456
4 Er 0.750 0.750 0.956
5 Tl 0.073 0.250 0.789
6 Tl 0.427 0.750 0.289
7 Tl 0.573 0.250 0.711
8 Tl 0.927 0.750 0.211
9 Zn 0.132 0.250 0.358
10 Zn 0.368 0.750 0.858
11 Zn 0.632 0.250 0.142
12 Zn 0.868 0.750 0.642
13 Te 0.002 0.750 0.413
14 Te 0.128 0.750 0.949
15 Te 0.198 0.250 0.211
16 Te 0.302 0.750 0.711
17 Te 0.372 0.250 0.449
18 Te 0.498 0.250 0.913
19 Te 0.502 0.750 0.087
20 Te 0.628 0.750 0.551
21 Te 0.698 0.250 0.289
22 Te 0.802 0.750 0.789
23 Te 0.872 0.250 0.051
24 Te 0.998 0.250 0.587



A is preferred energetically. Next in line: 131 meV per atom higher.